This record from Alexandria describes a geometry-optimized NiHgPb2Br structure. The functional is PBE.

Values from the calculation:
space-group type	P4/mmm (123)
crystal system	tetragonal
total energy	-3.16	eV per atom

Unit cell a=5.1657 b=5.1657 c=5.1671 alpha=90.00 beta=90.00 gamma=90.00
Fractional coordinates of all 5 atoms:
1 Pb 0.0000 0.5000 0.0000
2 Pb 0.5000 0.0000 0.0000
3 Ni 0.0000 0.0000 0.0000
4 Hg 0.0000 0.0000 0.5000
5 Br 0.5000 0.5000 0.5000